! NbHRh3 PBE optimized geometry; values from VASP
&SYSTEM
  ibrav = 0, nat = 10, ntyp = 3
/
ATOMIC_SPECIES
Nb 92.91 Nb.upf
H 1.01 H.upf
Rh 102.91 Rh.upf
ATOMIC_POSITIONS crystal
Nb 0.239 0.250 0.185
Nb 0.761 0.750 0.815
H 0.393 0.250 0.806
H 0.607 0.750 0.194
Rh 0.224 0.750 0.172
Rh 0.248 0.509 0.666
Rh 0.248 0.991 0.666
Rh 0.752 0.009 0.334
Rh 0.752 0.491 0.334
Rh 0.776 0.250 0.828
CELL_PARAMETERS angstrom
4.528 0.000 0.000
0.000 5.674 0.000
-0.057 0.000 4.930
! distance to the lowest polymorph of the same formula: 107 meV/atom